[1]
Entry from OQMD: a relaxed SmYFe2Pb crystal (PBE).

The structure in POSCAR format:
```
SmYFe2Pb
1.0
3.864 0.000 0.000
0.000 1.969 7.185
0.000 -1.969 7.185
Sm Y Fe Pb
1 1 2 1
Direct
0.000 0.000 0.000
0.000 0.275 0.275
0.500 0.430 0.430
0.500 0.843 0.843
0.500 0.639 0.639
```

The electronic total energy is -6.475 eV/atom.



[2]
Entry from OQMD: a relaxed LaNdNi2 crystal (PBE).

The structure in POSCAR format:
```
LaNdNi2
1.0
4.381 0.000 0.000
0.000 5.554 0.000
0.000 0.000 7.289
La Nd Ni
2 2 4
Direct
0.000 0.123 0.000
0.000 0.877 0.500
0.500 0.378 0.360
0.500 0.622 0.860
0.000 0.374 0.642
0.000 0.626 0.142
0.500 0.128 0.718
0.500 0.872 0.218
```

The calculation puts the formation energy at -0.33 eV per atom. As for the excess energy over the best structure of this formula in the dataset: 5 meV/atom. The electronic total energy is -5.536 eV/atom.



[3]
Entry from OQMD: a relaxed HfBiNO crystal (PBE).

The structure in POSCAR format:
```
HfBiNO
1.0
4.215 0.000 0.000
0.000 4.215 0.000
0.000 0.000 8.445
Hf Bi N O
2 2 2 2
Direct
0.250 0.750 0.000
0.750 0.250 0.000
0.250 0.250 0.366
0.750 0.750 0.634
0.250 0.250 0.955
0.750 0.750 0.045
0.250 0.750 0.500
0.750 0.250 0.500
```

As for the excess energy over the best structure of this formula in the dataset: 578 meV/atom. The electronic total energy is -7.662 eV/atom.



[4]
Entry from OQMD: a relaxed NbBiN2O crystal (PBE).

The structure in POSCAR format:
```
NbBiN2O
1.0
3.958 0.000 0.000
0.000 3.958 0.000
0.000 0.000 4.648
Nb Bi N O
1 1 2 1
Direct
0.000 0.000 0.000
0.500 0.500 0.599
0.000 0.500 0.867
0.500 0.000 0.867
0.000 0.000 0.395
```

The electronic total energy is -7.857 eV/atom.



[5]
Entry from OQMD: a relaxed Sm2Si5Ni3 crystal (PBE).

The structure in POSCAR format:
```
Sm2Si5Ni3
1.0
-4.808 5.638 2.855
4.808 -5.638 2.855
4.808 5.638 -2.855
Sm Si Ni
4 10 6
Direct
0.131 0.238 0.369
0.369 0.738 0.106
0.631 0.262 0.894
0.869 0.762 0.631
0.015 0.750 0.265
0.108 0.650 0.758
0.250 0.250 0.000
0.392 0.150 0.542
0.485 0.750 0.735
0.515 0.250 0.265
0.608 0.850 0.458
0.750 0.750 0.000
0.892 0.350 0.242
0.985 0.250 0.735
0.133 0.889 0.022
0.250 0.750 0.500
0.367 0.389 0.756
0.633 0.611 0.244
0.750 0.250 0.500
0.867 0.111 0.978
```

The electronic total energy is -6.115 eV/atom.



[6]
Entry from OQMD: a relaxed Ta2FeSb2Os crystal (PBE).

The structure in POSCAR format:
```
Ta2FeSb2Os
1.0
7.474 0.000 0.000
0.000 4.304 0.000
-2.439 0.000 14.078
Ta Fe Sb Os
8 4 8 4
Direct
0.000 0.000 0.000
0.002 0.500 0.493
0.247 0.000 0.741
0.250 0.500 0.241
0.491 0.000 0.490
0.498 0.500 0.000
0.739 0.000 0.240
0.747 0.500 0.743
0.186 0.000 0.554
0.187 0.500 0.060
0.432 0.000 0.303
0.684 0.000 0.059
0.126 0.500 0.878
0.132 0.000 0.369
0.362 0.500 0.615
0.371 0.000 0.119
0.609 0.500 0.362
0.625 0.000 0.878
0.870 0.500 0.114
0.882 0.000 0.616
0.435 0.500 0.808
0.683 0.500 0.553
0.934 0.500 0.304
0.936 0.000 0.809
```

The electronic total energy is -8.836 eV/atom.



[7]
Entry from OQMD: a relaxed ZnCdFeRe crystal (PBE).

The structure in POSCAR format:
```
ZnCdFeRe
1.0
0.000 3.112 3.112
3.112 0.000 3.112
3.112 3.112 0.000
Zn Cd Fe Re
1 1 1 1
Direct
0.000 0.000 0.000
0.750 0.750 0.750
0.250 0.250 0.250
0.500 0.500 0.500
```

The calculation puts the formation energy at 0.62 eV per atom. As for the excess energy over the best structure of this formula in the dataset: 0 meV/atom. The electronic total energy is -5.107 eV/atom.



[8]
Entry from OQMD: a relaxed KDyCd crystal (PBE).

The structure in POSCAR format:
```
KDyCd
1.0
0.000 3.781 3.781
3.781 0.000 3.781
3.781 3.781 0.000
K Dy Cd
1 1 1
Direct
0.000 0.000 0.000
0.250 0.250 0.250
0.750 0.750 0.750
```

The electronic total energy is -1.322 eV/atom.



[9]
Entry from OQMD: a relaxed RbFeTeAuS2 crystal (PBE).

The structure in POSCAR format:
```
RbFeTeAuS2
1.0
1.748 -8.557 0.000
1.748 8.557 0.000
0.000 0.000 10.233
Rb Fe Te Au S
2 2 2 2 4
Direct
0.243 0.757 0.750
0.757 0.243 0.250
0.500 0.500 0.000
0.500 0.500 0.500
0.441 0.559 0.250
0.559 0.441 0.750
0.090 0.910 0.250
0.910 0.090 0.750
0.090 0.910 0.020
0.090 0.910 0.480
0.910 0.090 0.520
0.910 0.090 0.980
```

The electronic total energy is -4.276 eV/atom.



[10]
Entry from OQMD: a relaxed Lu4Fe3Mo2N3 crystal (PBE).

The structure in POSCAR format:
```
Lu4Fe3Mo2N3
1.0
4.781 -2.663 0.000
4.781 2.663 0.000
-1.961 0.000 15.000
Lu Fe Mo N
8 6 4 6
Direct
0.039 0.769 0.920
0.126 0.325 0.415
0.231 0.961 0.580
0.325 0.126 0.915
0.675 0.874 0.085
0.769 0.039 0.420
0.874 0.675 0.585
0.961 0.231 0.080
0.124 0.876 0.750
0.125 0.381 0.750
0.381 0.125 0.250
0.619 0.875 0.750
0.875 0.619 0.250
0.876 0.124 0.250
0.324 0.577 0.177
0.423 0.676 0.323
0.577 0.324 0.677
0.676 0.423 0.823
0.000 0.500 0.000
0.135 0.683 0.484
0.317 0.865 0.016
0.500 0.000 0.500
0.683 0.135 0.984
0.865 0.317 0.516
```

The electronic total energy is -7.741 eV/atom.



[11]
Entry from OQMD: a relaxed BPt crystal (PBE).

The structure in POSCAR format:
```
BPt
1.0
0.000 2.396 2.396
2.396 0.000 2.396
2.396 2.396 0.000
B Pt
1 1
Direct
0.000 0.000 0.000
0.750 0.750 0.750
```

The electronic total energy is -6.414 eV/atom.



[12]
Entry from OQMD: a relaxed NdSnSbPd2 crystal (PBE).

The structure in POSCAR format:
```
NdSnSbPd2
1.0
4.491 0.000 0.000
0.000 4.491 0.000
0.000 0.000 11.066
Nd Sn Sb Pd
2 2 2 4
Direct
0.250 0.250 0.237
0.750 0.750 0.763
0.250 0.750 0.500
0.750 0.250 0.500
0.250 0.250 0.868
0.750 0.750 0.132
0.250 0.250 0.635
0.250 0.750 0.000
0.750 0.250 0.000
0.750 0.750 0.365
```

The electronic total energy is -5.490 eV/atom.



[13]
Entry from OQMD: a relaxed Nb4InB2P crystal (PBE).

The structure in POSCAR format:
```
Nb4InB2P
1.0
3.307 0.000 0.000
-1.653 2.864 0.000
0.000 0.000 13.098
Nb In B P
4 1 2 1
Direct
0.000 0.000 0.130
0.000 0.000 0.870
0.667 0.333 0.319
0.667 0.333 0.681
0.000 0.000 0.500
0.333 0.667 0.228
0.333 0.667 0.772
0.667 0.333 0.000
```

The electronic total energy is -8.355 eV/atom.



[14]
Entry from OQMD: a relaxed RbMgMo crystal (PBE).

The structure in POSCAR format:
```
RbMgMo
1.0
0.000 3.855 3.855
3.855 0.000 3.855
3.855 3.855 0.000
Rb Mg Mo
1 1 1
Direct
0.000 0.000 0.000
0.750 0.750 0.750
0.500 0.500 0.500
```

As for the excess energy over the best structure of this formula in the dataset: 0 meV/atom. The electronic total energy is -2.771 eV/atom.



[15]
Entry from OQMD: a relaxed SbPd2Pt crystal (PBE).

The structure in POSCAR format:
```
SbPd2Pt
1.0
0.000 3.225 3.225
3.225 0.000 3.225
3.225 3.225 0.000
Sb Pd Pt
1 2 1
Direct
0.000 0.000 0.000
0.500 0.500 0.500
0.750 0.750 0.750
0.250 0.250 0.250
```

The electronic total energy is -5.438 eV/atom.



[16]
Entry from OQMD: a relaxed ZrTc crystal (PBE).

The structure in POSCAR format:
```
ZrTc
1.0
5.876 0.000 0.000
-2.938 5.089 0.000
0.000 0.000 4.809
Zr Tc
4 4
Direct
0.000 0.000 0.000
0.171 0.343 0.500
0.171 0.829 0.500
0.657 0.829 0.500
0.503 0.006 0.000
0.503 0.497 0.000
0.667 0.333 0.500
0.994 0.497 0.000
```

The calculation puts the formation energy at 0.24 eV per atom. The electronic total energy is -9.214 eV/atom.



[17]
Entry from OQMD: a relaxed ScInTc crystal (PBE).

The structure in POSCAR format:
```
ScInTc
1.0
3.432 0.000 0.000
0.000 3.432 0.000
0.000 0.000 9.440
Sc In Tc
2 2 2
Direct
0.000 0.000 0.155
0.000 0.000 0.845
0.500 0.500 0.341
0.500 0.500 0.659
0.000 0.000 0.500
0.500 0.500 0.000
```

As for the excess energy over the best structure of this formula in the dataset: 0 meV/atom. The electronic total energy is -6.660 eV/atom.



[18]
Entry from OQMD: a relaxed Li2Mg2Ga2IrPd crystal (PBE).

The structure in POSCAR format:
```
Li2Mg2Ga2IrPd
1.0
4.402 0.000 0.000
0.000 4.402 0.000
0.000 0.000 6.194
Li Mg Ga Ir Pd
2 2 2 1 1
Direct
0.000 0.000 0.000
0.500 0.500 0.500
0.000 0.500 0.250
0.500 0.000 0.750
0.000 0.500 0.738
0.500 0.000 0.262
0.000 0.000 0.500
0.500 0.500 0.000
```

The electronic total energy is -3.902 eV/atom.



[19]
Entry from OQMD: a relaxed GdZrNi crystal (PBE).

The structure in POSCAR format:
```
GdZrNi
1.0
0.000 3.235 3.235
3.235 0.000 3.235
3.235 3.235 0.000
Gd Zr Ni
1 1 1
Direct
0.000 0.000 0.000
0.250 0.250 0.250
0.750 0.750 0.750
```

The calculation puts the formation energy at 0.86 eV per atom. As for the excess energy over the best structure of this formula in the dataset: 805 meV/atom. The electronic total energy is -5.401 eV/atom.



[20]
Entry from OQMD: a relaxed Ni14Te crystal (PBE).

The structure in POSCAR format:
```
Ni14Te
1.0
10.059 0.000 0.000
0.000 2.566 0.000
-0.620 0.000 26.873
Ni Te
28 2
Direct
0.015 0.250 0.039
0.043 0.750 0.117
0.069 0.250 0.194
0.131 0.250 0.821
0.162 0.750 0.898
0.191 0.250 0.976
0.220 0.750 0.055
0.248 0.250 0.132
0.272 0.750 0.210
0.335 0.750 0.836
0.367 0.250 0.915
0.397 0.750 0.992
0.426 0.250 0.069
0.456 0.750 0.147
0.544 0.250 0.853
0.574 0.750 0.931
0.603 0.250 0.008
0.633 0.750 0.085
0.665 0.250 0.164
0.728 0.250 0.790
0.752 0.750 0.868
0.780 0.250 0.945
0.809 0.750 0.024
0.838 0.250 0.102
0.869 0.750 0.179
0.931 0.750 0.806
0.957 0.250 0.883
0.985 0.750 0.961
0.491 0.250 0.234
0.509 0.750 0.766
```

As for the excess energy over the best structure of this formula in the dataset: 164 meV/atom. The electronic total energy is -5.212 eV/atom.



[21]
Entry from OQMD: a relaxed CsAgF2 crystal (PBE).

The structure in POSCAR format:
```
CsAgF2
1.0
4.335 0.000 0.000
0.000 4.335 0.000
0.000 0.000 8.700
Cs Ag F
2 2 4
Direct
0.250 0.250 0.189
0.750 0.750 0.811
0.250 0.250 0.610
0.750 0.750 0.390
0.250 0.250 0.870
0.250 0.750 0.500
0.750 0.250 0.500
0.750 0.750 0.130
```

As for the excess energy over the best structure of this formula in the dataset: 0 meV/atom. The electronic total energy is -3.647 eV/atom.



[22]
Entry from OQMD: a relaxed YLuMo crystal (PBE).

The structure in POSCAR format:
```
YLuMo
1.0
0.000 3.451 3.451
3.451 0.000 3.451
3.451 3.451 0.000
Y Lu Mo
1 1 1
Direct
0.000 0.000 0.000
0.750 0.750 0.750
0.500 0.500 0.500
```

The calculation puts the formation energy at 1.20 eV per atom. The electronic total energy is -6.081 eV/atom.



[23]
Entry from OQMD: a relaxed ScPAuO crystal (PBE).

The structure in POSCAR format:
```
ScPAuO
1.0
3.879 0.000 0.000
0.000 3.879 0.000
0.000 0.000 8.447
Sc P Au O
2 2 2 2
Direct
0.250 0.250 0.106
0.750 0.750 0.894
0.250 0.250 0.703
0.750 0.750 0.297
0.250 0.750 0.500
0.750 0.250 0.500
0.250 0.750 0.000
0.750 0.250 0.000
```

As for the excess energy over the best structure of this formula in the dataset: 0 meV/atom. The electronic total energy is -6.357 eV/atom.